This record from Alexandria describes a relaxed structure of K2VRh2Se6. The functional is PBE-GGA.

Results
V: 277.1 Å³/cell
symmetry: C2/m
raw total energy: -4.96 eV/atom

a b c (Å): 6.4838 6.4838 7.9101
angles (deg): 97.92 97.92 119.92
Sites, in units of the cell vectors:
Se 0.3935 0.0619 0.6749
Se 0.2779 0.2779 0.3261
Se 0.9381 0.6065 0.3251
Se 0.7221 0.7221 0.6739
Se 0.6065 0.9381 0.3251
Se 0.0619 0.3935 0.6749
K 0.1666 0.8334 0.0000
K 0.8334 0.1666 0.0000
Rh 0.6684 0.3316 0.5000
Rh 0.3316 0.6684 0.5000
V 0.0000 0.0000 0.5000



This record from Alexandria describes a relaxed structure of Tb7Pm4Cd. The functional is PBE-GGA.

Results
V: 384.9 Å³/cell
energy of formation: -0.217 eV/f.u.
symmetry: P-3m1
raw total energy: -4.38 eV/atom

a b c (Å): 3.5971 3.5971 34.3534
angles (deg): 90.00 90.00 120.00
Sites, in units of the cell vectors:
Cd 0.0000 0.0000 0.5000
Tb 0.6667 0.3333 0.5734
Tb 0.0000 0.0000 0.0000
Tb 0.3333 0.6667 0.1713
Tb 0.3333 0.6667 0.4266
Tb 0.0000 0.0000 0.7448
Tb 0.6667 0.3333 0.8287
Tb 0.0000 0.0000 0.2552
Pm 0.3333 0.6667 0.9144
Pm 0.3333 0.6667 0.6587
Pm 0.6667 0.3333 0.0856
Pm 0.6667 0.3333 0.3413



This record from Alexandria describes a relaxed structure of SnPd3Rh. The functional is PBE-GGA.

Results
V: 222.7 Å³/cell
energy of formation: 1.707 eV/f.u.
E above lowest polymorph: 0.000 eV/atom
symmetry: I-4m2
raw total energy: -5.05 eV/atom

a b c (Å): 4.8918 4.8918 9.9302
angles (deg): 104.26 104.26 90.00
Sites, in units of the cell vectors:
Pd 0.1244 0.3750 0.2488
Pd 0.3439 0.3439 0.6878
Pd 0.6561 0.6561 0.3122
Pd 0.1261 0.8756 0.7512
Pd 0.6250 0.8756 0.7512
Pd 0.1244 0.8739 0.2488
Sn 0.0000 0.0000 0.0000
Sn 0.2500 0.7500 0.5000
Rh 0.9020 0.4020 0.8040
Rh 0.5980 0.0980 0.1960



This record from Alexandria describes a relaxed structure of BaGd2PdO5. The functional is PBE-GGA.

Results
V: 264.5 Å³/cell
symmetry: P4/mbm
raw total energy: -9.30 eV/atom

a b c (Å): 6.6676 6.6676 5.9490
angles (deg): 90.00 90.00 90.00
Sites, in units of the cell vectors:
O 0.8588 0.3588 0.2562
O 0.5000 0.5000 0.5000
O 0.6412 0.8588 0.7438
O 0.6412 0.8588 0.2562
O 0.3588 0.1412 0.7438
O 0.1412 0.6412 0.2562
O 0.0000 0.0000 0.5000
O 0.3588 0.1412 0.2562
O 0.8588 0.3588 0.7438
O 0.1412 0.6412 0.7438
Pd 0.5000 0.0000 0.0000
Pd 0.0000 0.5000 0.0000
Ba 0.5000 0.5000 0.0000
Ba 0.0000 0.0000 0.0000
Gd 0.3255 0.8255 0.5000
Gd 0.1745 0.3255 0.5000
Gd 0.6745 0.1745 0.5000
Gd 0.8255 0.6745 0.5000